[1]
# PBE CuPd3Au12, optimized geometry
data_CuPd3Au12
_chemical_formula_sum 'Cu1 Pd3 Au12'
_symmetry_space_group_name_H-M 'P 4/m m m'
_symmetry_Int_Tables_number 123
_symmetry_space_group_name_Hall '-P 4 2'
_cell_length_a 4.167
_cell_length_b 4.167
_cell_length_c 15.881
_cell_angle_alpha 90.00
_cell_angle_beta 90.00
_cell_angle_gamma 90.00
loop_
_atom_site_label
_atom_site_type_symbol
_atom_site_fract_x
_atom_site_fract_y
_atom_site_fract_z
Cu1 Cu 0.000 0.000 0.000
Pd1 Pd 0.000 0.000 0.248
Pd2 Pd 0.000 0.000 0.500
Au1 Au 0.000 0.500 0.121
Au2 Au 0.000 0.500 0.374
Au3 Au 0.500 0.500 0.000
Au4 Au 0.500 0.500 0.248
Au5 Au 0.500 0.500 0.500
# N(E_F)   5.44 states/eV per cell
# ΔE_f   -0.0527 eV per atom

[2]
# PBE Cu5Pd12Au2, optimized geometry
data_Cu5Pd12Au2
_chemical_formula_sum 'Cu10 Pd24 Au4'
_symmetry_space_group_name_H-M 'C 1 2/m 1'
_symmetry_Int_Tables_number 12
_cell_length_a 14.343
_cell_length_b 5.415
_cell_length_c 8.524
_cell_angle_alpha 90.00
_cell_angle_beta 104.96
_cell_angle_gamma 90.00
loop_
_symmetry_equiv_pos_as_xyz
'x,y,z'
'-x,-y,-z'
'-x,y,-z'
'x,-y,z'
'x+1/2,y+1/2,z'
'-x+1/2,-y+1/2,-z'
'-x+1/2,y+1/2,-z'
'x+1/2,-y+1/2,z'
loop_
_atom_site_label
_atom_site_type_symbol
_atom_site_fract_x
_atom_site_fract_y
_atom_site_fract_z
Cu1 Cu 0.000 0.000 0.000
Cu2 Cu 0.139 0.500 0.363
Cu3 Cu 0.192 0.500 0.862
Pd1 Pd 0.014 0.500 0.848
Pd2 Pd 0.109 0.000 0.331
Pd3 Pd 0.154 0.256 0.089
Pd4 Pd 0.202 0.245 0.623
Au1 Au 0.000 0.255 0.500
# N(E_F)   46.16 states/eV per cell
# ΔE_f   0.1837 eV per atom
# Excess energy over the best structure of this formula in the dataset   2.92 eV/f.u.

[3]
# PBE Cu8PdAu5, optimized geometry
data_Cu8PdAu5
_chemical_formula_sum 'Cu16 Pd2 Au10'
_symmetry_space_group_name_H-M 'I -4'
_symmetry_Int_Tables_number 82
_cell_length_a 7.561
_cell_length_b 7.561
_cell_length_c 7.556
_cell_angle_alpha 90.00
_cell_angle_beta 90.00
_cell_angle_gamma 90.00
loop_
_symmetry_equiv_pos_as_xyz
'x,y,z'
'y,-x,-z'
'-x,-y,z'
'-y,x,-z'
'x+1/2,y+1/2,z+1/2'
'y+1/2,-x+1/2,-z+1/2'
'-x+1/2,-y+1/2,z+1/2'
'-y+1/2,x+1/2,-z+1/2'
loop_
_atom_site_label
_atom_site_type_symbol
_atom_site_fract_x
_atom_site_fract_y
_atom_site_fract_z
Cu1 Cu 0.066 0.159 0.181
Cu2 Cu 0.106 0.318 0.510
Pd1 Pd 0.000 0.000 0.500
Au1 Au 0.000 0.500 0.250
Au2 Au 0.117 0.287 0.849
# N(E_F)   12.45 states/eV per cell
# ΔE_f   0.0983 eV per atom

Number 1: energy -3.7404 eV/atom. Number 2: energy -4.5189 eV/atom. Number 3: energy -3.7838 eV/atom.